The following is a GGA-PBE calculation of crystalline Sr4RuAu at its relaxed geometry, from Alexandria via LeMat-Bulk.

Values from the calculation:
- space-group type = F-43m (216)
- formation enthalpy at 0 K (eV per atom) = 0.9643

Geometry as POSCAR:
```
Sr4RuAu
1.0
-0.074 -6.197 -1.978
-2.301 -4.642 3.933
-5.655 -2.911 -1.365
Sr Ru Au
4 1 1
direct
0.877 0.374 0.374
0.374 0.374 0.877
0.374 0.877 0.374
0.374 0.374 0.374
0.000 0.000 0.000
0.750 0.750 0.750
```